[1]
Computed, not measured: an optimized crystal structure of OsPdRh2 at the PBE-GGA level of DFT.

Calculated values
Mass density = 12.8 g cm⁻³
Calculated formation energy = 0.61 eV/atom
E above lowest polymorph = 0.595 eV per atom

Lattice parameters (Å, degrees): 6.975 6.975 5.618 51.62 51.62 90.00
Atoms (fractional coordinates):
Pd1 0.500 0.500 0.000
Pd2 0.250 0.750 0.500
Rh1 0.093 0.625 0.250
Rh2 0.657 0.125 0.250
Rh3 0.375 0.343 0.750
Rh4 0.875 0.907 0.750
Os1 0.750 0.250 0.500
Os2 0.000 0.000 0.000

---

[2]
Computed, not measured: an optimized crystal structure of AlSiRu2 at the PBE-GGA level of DFT.

Calculated values
Mass density = 7.9 g cm⁻³
E above lowest polymorph = 0.397 eV per atom
Raw formation energy = -0.319 eV/atom

Lattice parameters (Å, degrees): 4.931 4.931 4.931 137.45 137.45 61.74
Atoms (fractional coordinates):
Al1 0.750 0.250 0.500
Si1 0.500 0.500 0.000
Ru1 0.000 0.000 0.000
Ru2 0.250 0.750 0.500

---

[3]
Computed, not measured: an optimized crystal structure of InNiAg4 at the PBE-GGA level of DFT.

Calculated values
Mass density = 8.8 g cm⁻³
Calculated formation energy = 0.33 eV/atom

Lattice parameters (Å, degrees): 5.454 5.454 5.454 60.00 60.00 60.00
Each line ends with the local moment (μB).
Atoms (fractional coordinates):
In1 0.750 0.750 0.750  0.00
Ag1 0.375 0.375 0.375  0.00
Ag2 0.876 0.375 0.375  0.00
Ag3 0.375 0.876 0.375  0.00
Ag4 0.375 0.375 0.876  0.00
Ni1 0.000 0.000 0.000  0.11